Density functional theory data (GGA+U) for a geometry-optimized InMo3O structure.

Unit cell a=5.4871 b=5.4871 c=5.4871 alpha=90.00 beta=90.00 gamma=90.00
Site moments in Bohr magnetons follow the coordinates.
Fractional positions:
In 0.0000 0.0000 0.0000  -0.07
Mo 0.0000 0.0000 0.5000  4.04
Mo 0.0000 0.5000 0.0000  3.90
Mo 0.5000 0.0000 0.0000  3.74
O 0.5000 0.5000 0.5000  0.33

Properties
Calculated total energy: -17.7 eV per formula unit
Calculated volume: 33.0 Å³ per atom
Density: 4.21 g/cm3
Magnetic moment: 13.91 Bohr magnetons per cell